First-principles (PBE-GGA) data for a relaxed CaYNi2 crystal, as listed in Alexandria via LeMat-Bulk.

Output
spin magnetization = 0.0 μB/cell
calculated total energy = -4.996 eV per atom
ΔE_f = 0.0 eV/f.u.

Cell and atoms, written as POSCAR:
```
CaYNi2
1.0
-2.179 2.533 0.290
-1.377 -0.848 -2.938
-4.910 -4.639 3.639
Ni Ca Y
2 1 1
direct
0.000 0.000 0.072
0.500 0.500 0.194
0.500 0.500 0.827
0.000 0.000 0.407
```

=====

First-principles (PBE-GGA) data for a relaxed Ca2YZnNi crystal, as listed in Alexandria via LeMat-Bulk.

Output
spin magnetization = 0.0 μB/cell
calculated total energy = -3.208 eV per atom
ΔE_f = 1.5 eV/f.u.

Cell and atoms, written as POSCAR:
```
Ca2YZnNi
1.0
5.593 0.000 0.000
0.000 4.536 0.000
0.000 0.000 5.593
Ni Ca Zn Y
1 2 1 1
direct
0.000 0.500 0.000
0.500 0.000 0.000
0.000 0.000 0.500
0.000 0.000 0.000
0.500 0.500 0.500
```

=====

- Look up the calculated total energy of the second one.
  -3.208 eV per atom